No. 1
GGA-PBEsol CdFe, optimized geometry; calculated volume = 62.8 Å³ per cell; space-group type = R-3m; DFT formation energy = 0.606 eV per formula unit
1.0
2.8586 0.0000 0.0000
1.4293 2.4757 0.0000
1.4293 0.8252 8.8799
Cd Fe
2 2
Direct
0.3837 0.3837 0.8489
0.6163 0.6163 0.1511
0.1357 0.1357 0.5930
0.8643 0.8643 0.4070

---

No. 2
GGA-PBEsol CuSiH2O4, optimized geometry; calculated volume = 470.3 Å³ per cell; E = -300.33 eV per cell; space-group type = R-3
1.0
7.6950 0.0000 0.0000
-2.5650 8.4011 0.0000
2.5650 4.2006 7.2756
H O Si Cu
12 24 6 6
Direct
0.4865 0.2385 0.7078
0.2480 0.0537 0.2385
0.4955 0.1790 0.0961
0.1943 0.7078 0.0537
0.5916 0.0961 0.7249
0.8057 0.2922 0.9463
0.5045 0.8210 0.9039
0.6835 0.2751 0.8210
0.3165 0.7249 0.1790
0.7520 0.9463 0.7615
0.5135 0.7615 0.2922
0.4084 0.9039 0.2751
0.2200 0.5843 0.7361
0.0191 0.0330 0.7126
0.0463 0.3725 0.5782
0.6738 0.0493 0.3725
0.9861 0.2544 0.0330
0.3024 0.6865 0.0847
0.6976 0.3135 0.9153
0.0139 0.7456 0.9670
0.3756 0.4218 0.9507
0.6130 0.9153 0.7712
0.6159 0.2288 0.6865
0.3262 0.9507 0.6275
0.7800 0.4157 0.2639
0.7317 0.7126 0.2544
0.3643 0.3204 0.4157
0.9561 0.7361 0.6796
0.3841 0.7712 0.3135
0.6244 0.5782 0.0493
0.0439 0.2639 0.3204
0.9809 0.9670 0.2874
0.6357 0.6796 0.5843
0.9537 0.6275 0.4218
0.2683 0.2874 0.7456
0.3870 0.0847 0.2288
0.7803 0.6068 0.1377
0.2197 0.3932 0.8623
0.1735 0.2556 0.6068
0.0821 0.8623 0.7444
0.8265 0.7444 0.3932
0.9179 0.1377 0.2556
0.4754 0.8117 0.5977
0.6637 0.5906 0.8117
0.0731 0.5977 0.5906
0.3363 0.4094 0.1883
0.5246 0.1883 0.4023
0.9269 0.4023 0.4094

---

No. 3
GGA-PBEsol DyLuCd2, optimized geometry; calculated volume = 96.4 Å³ per cell; space-group type = Fm-3m; DFT formation energy = -1.354 eV per formula unit
1.0
5.1459 0.0000 0.0000
2.5729 4.4565 0.0000
2.5729 1.4855 4.2016
Dy Cd Lu
1 2 1
Direct
0.5000 0.5000 0.5000
0.2500 0.2500 0.2500
0.7500 0.7500 0.7500
0.0000 0.0000 0.0000

---

No. 4
GGA-PBEsol Sc3AlAg, optimized geometry; calculated volume = 129.7 Å³ per cell; space-group type = Pm-3m; DFT formation energy = 2.607 eV per formula unit
1.0
5.0618 0.0000 0.0000
0.0000 5.0618 0.0000
0.0000 0.0000 5.0618
Al Sc Ag
1 3 1
Direct
0.0000 0.0000 0.0000
0.0000 0.5000 0.0000
0.0000 0.0000 0.5000
0.5000 0.0000 0.0000
0.5000 0.5000 0.5000

---

No. 5
GGA-PBEsol Mg2ScZn, optimized geometry; calculated volume = 80.8 Å³ per cell; space-group type = Amm2; DFT formation energy = -0.404 eV per formula unit
1.0
-1.4119 -2.3613 -1.4651
3.9235 -2.1883 -0.2541
-0.3647 -1.3284 5.8081
Mg Zn Sc
2 1 1
Direct
0.1959 0.5000 0.3918
0.8096 0.0000 0.6192
0.9472 0.5000 0.8944
0.5410 0.0000 0.0820

---

No. 6
GGA-PBEsol BaBeRh2, optimized geometry; calculated volume = 68.9 Å³ per cell; space-group type = I-4m2; DFT formation energy = 2.260 eV per formula unit
1.0
-1.5567 -2.9400 -2.1036
-0.3055 -2.1752 3.2661
-3.1385 4.2015 0.1330
Ba Be Rh
1 1 2
Direct
0.5000 0.5000 0.0000
0.2500 0.7500 0.5000
0.0000 0.0000 0.0000
0.7500 0.2500 0.5000

---

No. 7
GGA-PBEsol Li2SbPb, optimized geometry; calculated volume = 86.6 Å³ per cell; polymorph energy (0 for the lowest one) = 0.0043 eV per atom; energy relative to the elements, uncorrected = -1.54 eV per formula unit; space-group type = I4/mmm
1.0
4.5869 0.0000 0.0000
-2.2935 4.7117 -0.0032
0.0000 -2.2300 4.0084
Li Pb Sb
2 1 1
Direct
0.2500 0.5000 0.7500
0.7500 0.5000 0.2500
0.0000 0.0000 0.0000
0.5000 0.0000 0.5000

---

No. 8
GGA-PBEsol Re3P2, optimized geometry; calculated volume = 70.6 Å³ per cell; space-group type = P-3m1; DFT formation energy = 0.413 eV per formula unit
1.0
3.9937 0.0000 0.0000
-1.9969 3.4587 0.0000
0.0000 0.0000 5.1103
P Re
2 3
Direct
0.6667 0.3333 0.2097
0.3333 0.6667 0.7903
0.6667 0.3333 0.6800
0.0000 0.0000 0.0000
0.3333 0.6667 0.3200

---

No. 9
GGA-PBEsol SbTe2Pt, optimized geometry; calculated volume = 117.3 Å³ per cell; energy relative to the elements, uncorrected = -0.12 eV per formula unit; space-group type = R-3m
1.0
3.8978 0.0000 0.0000
1.9489 3.3756 0.0000
1.9489 1.1252 8.9165
Te Pt Sb
2 1 1
Direct
0.1129 0.1129 0.6614
0.8871 0.8871 0.3386
0.5000 0.5000 0.5000
0.0000 0.0000 0.0000

---

No. 10
GGA-PBEsol BaScTlMo2, optimized geometry; calculated volume = 128.7 Å³ per cell; space-group type = P4/mmm; DFT formation energy = 8.312 eV per formula unit
1.0
-3.2744 2.7935 2.1002
-3.1583 -1.1328 -3.4173
-1.7528 -4.3587 3.0648
Tl Ba Mo Sc
1 1 2 1
Direct
0.5000 0.5000 0.5000
0.0000 0.0000 0.5000
0.5000 0.0000 0.0000
0.0000 0.5000 0.0000
0.0000 0.0000 0.0000

---

No. 11
GGA-PBEsol CaHgIr2, optimized geometry; calculated volume = 70.3 Å³ per cell; space-group type = Immm; DFT formation energy = 1.060 eV per formula unit
1.0
3.0436 0.0000 0.0000
0.0000 4.8477 0.0000
-1.5218 -2.4239 4.7637
Hg Ca Ir
1 1 2
Direct
0.0000 0.5000 0.0000
0.5000 0.0000 0.0000
0.7411 0.7411 0.4823
0.2589 0.2589 0.5177

---

No. 12
GGA-PBEsol Cu3As, optimized geometry; calculated volume = 49.9 Å³ per cell; space-group type = Pm-3m; DFT formation energy = 0.072 eV per formula unit
1.0
-1.8624 2.2997 -2.1906
-2.7614 -2.4270 -0.2003
-1.5691 1.5417 2.9525
Cu As
3 1
Direct
0.5000 0.5000 0.0000
0.0000 0.5000 0.5000
0.5000 0.0000 0.5000
0.0000 0.0000 0.0000

---

No. 13
GGA-PBEsol Al2WAu, optimized geometry; calculated volume = 59.9 Å³ per cell; polymorph energy (0 for the lowest one) = 0.1858 eV per atom; space-group type = Fm-3m; DFT formation energy = 0.222 eV per formula unit
1.0
-0.4026 -3.3849 2.7684
-0.2637 -4.0953 -1.5629
3.3478 -2.7852 0.5642
Au W Al
1 1 2
Direct
0.0000 0.0000 0.0000
0.5000 0.5000 0.5000
0.7500 0.7500 0.7500
0.2500 0.2500 0.2500

---

No. 14
GGA-PBEsol Ta3Cr, optimized geometry; calculated volume = 67.4 Å³ per cell; space-group type = Pm-3m; DFT formation energy = 1.560 eV per formula unit
1.0
-1.3555 -2.3321 -3.0465
3.6742 0.1411 -1.7429
1.1045 -3.3314 2.0588
Cr Ta
1 3
Direct
0.0000 0.0000 0.0000
0.0000 0.5000 0.5000
0.5000 0.5000 0.0000
0.5000 0.0000 0.5000

---

No. 15
GGA-PBEsol Mn4SiBr, optimized geometry; calculated volume = 76.2 Å³ per cell; energy relative to the elements, uncorrected = 4.47 eV per formula unit; space-group type = F-43m
1.0
-4.5892 0.2686 -1.2265
-1.3776 -1.3116 -4.3611
-2.5399 -3.9788 -0.5965
Br Mn Si
1 4 1
Direct
0.0000 0.0000 0.0000
0.8743 0.3752 0.3752
0.3752 0.3752 0.8743
0.3752 0.3752 0.3752
0.3752 0.8743 0.3752
0.7500 0.7500 0.7500

---

No. 16
GGA-PBEsol SrMgRu2, optimized geometry; calculated volume = 78.1 Å³ per cell; space-group type = P2/m; DFT formation energy = 2.330 eV per formula unit
1.0
2.8684 0.0000 -0.0016
0.0000 4.5263 0.0000
-0.9489 0.0000 6.0191
Ru Sr Mg
2 1 1
Direct
0.2081 0.0000 0.3261
0.7919 0.0000 0.6739
0.5000 0.5000 0.0000
0.0000 0.5000 0.5000

---

No. 17
GGA-PBEsol RbSrYP2, optimized geometry; calculated volume = 174.6 Å³ per cell; space-group type = P4/mmm; DFT formation energy = 3.773 eV per formula unit
1.0
5.6044 0.0000 0.0000
0.0000 5.6044 0.0000
0.0000 0.0000 5.5574
Y P Rb Sr
1 2 1 1
Direct
0.0000 0.0000 0.5000
0.5000 0.0000 0.0000
0.0000 0.5000 0.0000
0.5000 0.5000 0.5000
0.0000 0.0000 0.0000

---

No. 18
GGA-PBEsol Co4AsOs, optimized geometry; calculated volume = 71.5 Å³ per cell; space-group type = F-43m; DFT formation energy = 2.475 eV per formula unit
1.0
-1.5415 -3.7681 2.2656
2.1960 -4.0788 -0.4989
2.4685 -1.7645 3.5356
Os Co As
1 4 1
Direct
0.2500 0.2500 0.2500
0.6249 0.6249 0.1253
0.6249 0.1253 0.6249
0.6249 0.6249 0.6249
0.1253 0.6249 0.6249
0.0000 0.0000 0.0000

---

No. 19
GGA-PBEsol La3Rh4Pb13, optimized geometry; calculated volume = 996.2 Å³ per cell; space-group type = Pm-3n; DFT formation energy = -7.297 eV per formula unit
1.0
9.9873 0.0000 0.0000
0.0000 9.9873 0.0000
0.0000 0.0000 9.9873
Pb La Rh
26 6 8
Direct
0.1546 0.3071 0.0000
0.6546 0.5000 0.8071
0.6929 0.0000 0.1546
0.1929 0.3454 0.5000
0.3454 0.5000 0.1929
0.0000 0.0000 0.0000
0.1929 0.6546 0.5000
0.6929 0.0000 0.8454
0.0000 0.8454 0.6929
0.3454 0.5000 0.8071
0.5000 0.5000 0.5000
0.8454 0.3071 0.0000
0.8071 0.3454 0.5000
0.8454 0.6929 0.0000
0.5000 0.8071 0.6546
0.5000 0.1929 0.6546
0.3071 0.0000 0.1546
0.3071 0.0000 0.8454
0.1546 0.6929 0.0000
0.8071 0.6546 0.5000
0.5000 0.8071 0.3454
0.5000 0.1929 0.3454
0.0000 0.1546 0.6929
0.0000 0.8454 0.3071
0.0000 0.1546 0.3071
0.6546 0.5000 0.1929
0.5000 0.2500 0.0000
0.7500 0.0000 0.5000
0.2500 0.0000 0.5000
0.0000 0.5000 0.2500
0.5000 0.7500 0.0000
0.0000 0.5000 0.7500
0.2500 0.7500 0.2500
0.7500 0.7500 0.7500
0.2500 0.2500 0.2500
0.7500 0.2500 0.7500
0.2500 0.2500 0.7500
0.2500 0.7500 0.7500
0.7500 0.2500 0.2500
0.7500 0.7500 0.2500

---

No. 20
GGA-PBEsol BiIrS2, optimized geometry; calculated volume = 87.1 Å³ per cell; energy relative to the elements, uncorrected = -1.39 eV per formula unit; space-group type = R-3m
1.0
3.5504 0.0000 0.0000
1.7752 3.0748 0.0000
1.7752 1.0249 7.9778
S Ir Bi
2 1 1
Direct
0.1183 0.1183 0.6451
0.8817 0.8817 0.3549
0.5000 0.5000 0.5000
0.0000 0.0000 0.0000

---

no.,magnetic moment (μB/cell)
1,4.9
2,6.0
3,0.0
4,1.6
5,0.0
6,0.0
7,0.0
8,0.0
9,0.0
10,0.0
11,0.0
12,0.0
13,0.0
14,2.1
15,5.1
16,0.0
17,0.0
18,7.1
19,0.0
20,0.0